SiMoPb2: relaxed, PBEsol.

Properties
- raw formation energy (eV/f.u.) = 2.99
- VASP energy (eV per atom) = -5.63
- size of the total moment (μB/f.u.) = 0.00

Cell lengths 3.724, 3.724, 5.889 Å; angles 90.00, 90.00, 90.00 degrees
Fractional coordinates of all 4 atoms:
Pb1 0.000 0.000 0.748
Pb2 0.000 0.000 0.252
Mo1 0.500 0.500 0.500
Si1 0.500 0.500 0.000

***

Nb3SbCl: relaxed, PBEsol.

Properties
- raw formation energy (eV/f.u.) = 1.99
- VASP energy (eV per atom) = -7.41
- size of the total moment (μB/f.u.) = 0.00

Cell lengths 4.541, 4.541, 4.541 Å; angles 90.00, 90.00, 90.00 degrees
Fractional coordinates of all 5 atoms:
Cl1 0.000 0.000 0.000
Nb1 0.500 0.000 0.000
Nb2 0.000 0.000 0.500
Nb3 0.000 0.500 0.000
Sb1 0.500 0.500 0.500

***

BeSbNF2: relaxed, PBEsol.

Properties
- raw formation energy (eV/f.u.) = -6.22
- VASP energy (eV per atom) = -5.43
- size of the total moment (μB/f.u.) = 0.00

Cell lengths 3.281, 3.281, 5.410 Å; angles 90.00, 90.00, 90.00 degrees
Fractional coordinates of all 5 atoms:
Sb1 0.500 0.500 0.500
N1 0.000 0.000 0.500
F1 0.000 0.500 0.000
Be1 0.000 0.000 0.000
F2 0.500 0.000 0.000

***

Ta2CrRe: relaxed, PBEsol.

Properties
- energy relative to the elements (eV per atom) = -0.237
- VASP energy (eV per atom) = -12.41
- size of the total moment (μB/f.u.) = 0.00

Cell lengths 3.120, 3.120, 6.240 Å; angles 90.00, 90.00, 90.00 degrees
Fractional coordinates of all 4 atoms:
Ta1 0.000 0.000 0.243
Cr1 0.500 0.500 0.000
Re1 0.500 0.500 0.500
Ta2 0.000 0.000 0.757

***

KTeAu2: relaxed, PBEsol.

Properties
- raw formation energy (eV/f.u.) = -0.40
- VASP energy (eV per atom) = -3.23
- size of the total moment (μB/f.u.) = 0.00

Cell lengths 2.974, 4.536, 8.041 Å; angles 90.00, 90.00, 90.00 degrees
Fractional coordinates of all 4 atoms:
K1 0.000 0.000 0.496
Au1 0.500 0.500 0.127
Te1 0.500 0.500 0.763
Au2 0.000 0.000 0.114

***

DyAlSi: relaxed, PBEsol.

Properties
- raw formation energy (eV/f.u.) = -2.01
- VASP energy (eV per atom) = -5.61
- size of the total moment (μB/f.u.) = 0.00

Cell lengths 3.978, 5.457, 5.650 Å; angles 90.00, 90.00, 111.38 degrees
Fractional coordinates of all 6 atoms:
Si1 0.400 0.801 0.750
Si2 0.600 0.199 0.250
Al1 0.000 0.000 0.500
Dy1 0.695 0.391 0.750
Al2 0.000 0.000 0.000
Dy2 0.305 0.609 0.250

***

KCrPt: relaxed, PBEsol.

Properties
- energy relative to the elements (eV per atom) = 0.990
- VASP energy (eV per atom) = -5.12
- size of the total moment (μB/f.u.) = 4.83
- distance to the lowest polymorph of the same formula (eV/atom) = 0.585

Cell lengths 4.691, 4.691, 4.691 Å; angles 60.00, 60.00, 60.00 degrees
Site moments in Bohr magnetons follow the coordinates.
Fractional coordinates of all 3 atoms:
Pt1 0.250 0.250 0.250  0.07
K1 0.500 0.500 0.500  0.04
Cr1 0.000 0.000 0.000  3.95

***

Rb3NbO8: relaxed, PBEsol.

Properties
- raw formation energy (eV/f.u.) = -16.31
- VASP energy (eV per atom) = -6.02
- size of the total moment (μB/f.u.) = 0.00

Cell lengths 6.386, 6.386, 6.386 Å; angles 103.17, 112.71, 112.71 degrees
Fractional coordinates of all 12 atoms:
Rb1 0.500 0.750 0.250
O1 0.000 0.675 0.951
O2 0.275 0.325 0.325
O3 0.000 0.772 0.186
Nb1 0.000 0.000 0.000
Rb2 0.500 0.250 0.750
O4 0.586 0.814 0.814
O5 0.414 0.228 0.228
Rb3 0.000 0.500 0.500
O6 0.000 0.186 0.772
O7 0.725 0.049 0.049
O8 0.000 0.951 0.675

***

NiRu2Rh: relaxed, PBEsol.

Properties
- energy relative to the elements (eV per atom) = 0.134
- VASP energy (eV per atom) = -8.53
- size of the total moment (μB/f.u.) = 0.00
- distance to the lowest polymorph of the same formula (eV/atom) = 0.062

Cell lengths 2.625, 2.625, 7.359 Å; angles 90.00, 90.00, 90.00 degrees
Fractional coordinates of all 4 atoms:
Ru1 0.000 0.000 0.239
Ni1 0.500 0.500 0.000
Ru2 0.000 0.000 0.761
Rh1 0.500 0.500 0.500

***

Ca3BiPt: relaxed, PBEsol.

Properties
- energy relative to the elements (eV per atom) = -0.645
- VASP energy (eV per atom) = -4.18
- size of the total moment (μB/f.u.) = 0.00
- distance to the lowest polymorph of the same formula (eV/atom) = 0.000

Cell lengths 5.404, 5.404, 5.404 Å; angles 90.00, 90.00, 90.00 degrees
Fractional coordinates of all 5 atoms:
Pt1 0.000 0.000 0.000
Ca1 0.500 0.000 0.000
Bi1 0.500 0.500 0.500
Ca2 0.000 0.500 0.000
Ca3 0.000 0.000 0.500

***

CdTe2IO: relaxed, PBEsol.

Properties
- raw formation energy (eV/f.u.) = 0.00
- VASP energy (eV per atom) = -3.05
- size of the total moment (μB/f.u.) = 0.00

Cell lengths 4.421, 4.421, 6.748 Å; angles 90.00, 90.00, 90.00 degrees
Fractional coordinates of all 5 atoms:
Cd1 0.500 0.500 0.500
Te1 0.000 0.500 0.000
I1 0.000 0.000 0.500
O1 0.000 0.000 0.000
Te2 0.500 0.000 0.000

***

BeGaPb2I: relaxed, PBEsol.

Properties
- raw formation energy (eV/f.u.) = 1.03
- VASP energy (eV per atom) = -3.22
- size of the total moment (μB/f.u.) = 0.00

Cell lengths 4.341, 5.449, 5.449 Å; angles 90.00, 90.00, 90.00 degrees
Fractional coordinates of all 5 atoms:
I1 0.500 0.500 0.500
Ga1 0.500 0.000 0.000
Pb1 0.000 0.500 0.000
Pb2 0.000 0.000 0.500
Be1 0.000 0.000 0.000

***

BaTa2In: relaxed, PBEsol.

Properties
- energy relative to the elements (eV per atom) = 0.865
- VASP energy (eV per atom) = -6.69
- size of the total moment (μB/f.u.) = 0.00
- distance to the lowest polymorph of the same formula (eV/atom) = 0.426

Cell lengths 5.035, 5.035, 5.035 Å; angles 91.43, 119.18, 119.18 degrees
Fractional coordinates of all 4 atoms:
Ta1 0.500 0.250 0.750
In1 0.500 0.750 0.250
Ba1 0.000 0.500 0.500
Ta2 0.000 0.000 0.000

***

TbAlCu: relaxed, PBEsol.

Properties
- energy relative to the elements (eV per atom) = -0.386
- VASP energy (eV per atom) = -4.86
- size of the total moment (μB/f.u.) = 0.00

Cell lengths 5.294, 5.294, 5.294 Å; angles 87.93, 61.40, 119.03 degrees
Fractional coordinates of all 6 atoms:
Cu1 0.000 0.500 0.500
Cu2 0.500 0.000 0.500
Tb1 0.750 0.620 0.130
Al1 0.000 0.000 0.500
Al2 0.500 0.000 0.000
Tb2 0.250 0.380 0.870

***

La2InAu: relaxed, PBEsol.

Properties
- energy relative to the elements (eV per atom) = -0.580
- VASP energy (eV per atom) = -4.98
- size of the total moment (μB/f.u.) = 0.00

Cell lengths 3.830, 5.070, 6.379 Å; angles 113.41, 107.47, 90.00 degrees
Fractional coordinates of all 4 atoms:
La1 0.994 0.494 0.989
Au1 0.516 0.016 0.032
La2 0.782 0.782 0.564
In1 0.208 0.208 0.416

***

LiTl2: relaxed, PBEsol.

Properties
- energy relative to the elements (eV per atom) = -0.119
- VASP energy (eV per atom) = -2.53
- size of the total moment (μB/f.u.) = 0.00
- distance to the lowest polymorph of the same formula (eV/atom) = 0.042

Cell lengths 3.215, 3.215, 13.647 Å; angles 96.76, 96.76, 90.00 degrees
Fractional coordinates of all 6 atoms:
Tl1 0.927 0.927 0.854
Tl2 0.323 0.823 0.646
Tl3 0.073 0.073 0.146
Li1 0.750 0.250 0.500
Li2 0.500 0.500 0.000
Tl4 0.177 0.677 0.354

***

Zn2CuSe: relaxed, PBEsol.

Properties
- raw formation energy (eV/f.u.) = 0.46
- VASP energy (eV per atom) = -2.72
- size of the total moment (μB/f.u.) = 0.00

Cell lengths 2.793, 3.735, 5.853 Å; angles 90.00, 90.00, 90.00 degrees
Fractional coordinates of all 4 atoms:
Zn1 0.000 0.000 0.035
Cu1 0.000 0.000 0.464
Zn2 0.500 0.500 0.267
Se1 0.500 0.500 0.735

***

Ni8Ru: relaxed, PBEsol.

Properties
- energy relative to the elements (eV per atom) = 0.050
- VASP energy (eV per atom) = -6.55
- size of the total moment (μB/f.u.) = 5.58

Cell lengths 3.506, 5.537, 5.537 Å; angles 84.25, 71.54, 71.54 degrees
Site moments in Bohr magnetons follow the coordinates.
Fractional coordinates of all 9 atoms:
Ni1 0.332 0.000 0.335  0.55
Ni2 0.668 0.665 0.000  0.55
Ni3 0.665 0.335 0.335  0.64
Ni4 0.000 0.665 0.335  0.64
Ni5 0.332 0.335 0.000  0.55
Ru1 0.000 0.000 0.000  1.00
Ni6 0.668 0.000 0.665  0.55
Ni7 0.000 0.335 0.665  0.64
Ni8 0.335 0.665 0.665  0.64

***

TaCrCo6: relaxed, PBEsol.

Properties
- energy relative to the elements (eV per atom) = -0.121
- VASP energy (eV per atom) = -8.77
- size of the total moment (μB/f.u.) = 0.00

Cell lengths 6.079, 6.079, 9.950 Å; angles 90.00, 90.00, 109.59 degrees
Fractional coordinates of all 32 atoms:
Co1 0.115 0.371 0.620
Co2 0.362 0.118 0.869
Co3 0.500 0.500 0.500
Ta1 0.500 0.500 0.251
Co4 0.118 0.362 0.131
Cr1 0.255 0.745 0.500
Co5 0.362 0.118 0.131
Ta2 0.254 0.746 0.000
Co6 0.000 0.000 0.500
Ta3 0.500 0.500 0.749
Co7 0.885 0.629 0.380
Co8 0.371 0.115 0.380
Co9 0.118 0.362 0.869
Co10 0.882 0.638 0.869
Co11 0.755 0.245 0.740
Co12 0.629 0.885 0.620
Cr2 0.745 0.255 0.500
Ta4 0.746 0.254 0.000
Co13 0.882 0.638 0.131
Cr3 0.000 0.000 0.750
Co14 0.638 0.882 0.869
Co15 0.885 0.629 0.620
Co16 0.245 0.755 0.260
Co17 0.638 0.882 0.131
Co18 0.629 0.885 0.380
Co19 0.371 0.115 0.620
Co20 0.755 0.245 0.260
Co21 0.000 0.000 0.000
Cr4 0.000 0.000 0.250
Co22 0.245 0.755 0.740
Co23 0.115 0.371 0.380
Co24 0.500 0.500 0.000

***

Zn5Cd4: relaxed, PBEsol.

Properties
- energy relative to the elements (eV per atom) = 0.080
- VASP energy (eV per atom) = -1.33
- size of the total moment (μB/f.u.) = 0.00

Cell lengths 4.120, 6.479, 6.479 Å; angles 84.20, 71.46, 71.46 degrees
Fractional coordinates of all 9 atoms:
Cd1 0.679 0.321 0.321
Zn1 0.342 0.317 0.000
Cd2 0.000 0.321 0.679
Zn2 0.000 0.000 0.000
Cd3 0.321 0.679 0.679
Cd4 0.000 0.679 0.321
Zn3 0.658 0.000 0.683
Zn4 0.658 0.683 0.000
Zn5 0.342 0.000 0.317